Record 1
A relaxed structure of VCuI2N. Source: Alexandria, functional PBE.

Calculated values
Its symmetry is P4/mmm, No. 123. As for the energy relative to the lowest polymorph listed for this composition: 0.000 eV per atom. The volume comes out at 22.47 Å³ per atom. The formation energy (no corrections) is 281.7 meV per atom.

abc: 5.538 5.538 3.663
angles: 90.00 90.00 90.00
Sites, in units of the cell vectors:
V1 0.000 0.000 0.000
Cu1 0.500 0.500 0.500
I1 0.000 0.500 0.000
I2 0.500 0.000 0.000
N1 0.000 0.000 0.500

=====

Record 2
A relaxed structure of TlAg2W. Source: Alexandria, functional PBE.

Calculated values
Its symmetry is I4/mmm, No. 139. The value obtained for the energy of formation from the pure elements is 0.929 eV per atom. As for the energy relative to the lowest polymorph listed for this composition: 0.346 eV per atom. The volume comes out at 18.96 Å³ per atom.

abc: 5.368 5.368 5.368
angles: 135.15 135.15 65.30
Sites, in units of the cell vectors:
Tl1 0.000 0.000 0.000
Ag1 0.250 0.750 0.500
Ag2 0.750 0.250 0.500
W1 0.500 0.500 0.000

=====

Record 3
A relaxed structure of Tb12Sm7Dy. Source: Alexandria, functional PBE.

Calculated values
Its symmetry is Im-3m, No. 229. The value obtained for the energy of formation from the pure elements is 0.651 eV per atom. As for the energy relative to the lowest polymorph listed for this composition: 0.415 eV per atom. The volume comes out at 36.32 Å³ per atom.

abc: 9.808 9.808 9.808
angles: 109.47 109.47 109.47
Sites, in units of the cell vectors:
Tb1 0.000 0.248 0.752
Tb2 0.000 0.752 0.248
Tb3 0.248 0.000 0.752
Tb4 0.248 0.248 0.496
Tb5 0.248 0.496 0.248
Tb6 0.248 0.752 0.000
Tb7 0.496 0.248 0.248
Tb8 0.504 0.752 0.752
Tb9 0.752 0.000 0.248
Tb10 0.752 0.248 0.000
Tb11 0.752 0.504 0.752
Tb12 0.752 0.752 0.504
Sm1 0.000 0.000 0.500
Sm2 0.000 0.500 0.000
Sm3 0.000 0.500 0.500
Sm4 0.500 0.000 0.000
Sm5 0.500 0.000 0.500
Sm6 0.500 0.500 0.000
Sm7 0.500 0.500 0.500
Dy1 0.000 0.000 0.000

=====

Record 4
A relaxed structure of ZrCrIn. Source: Alexandria, functional PBE.

Calculated values
Its symmetry is F-43m, No. 216. The value obtained for the energy of formation from the pure elements is 0.780 eV per atom. As for the energy relative to the lowest polymorph listed for this composition: 0.702 eV per atom. The volume comes out at 24.98 Å³ per atom.

abc: 4.732 4.732 4.732
angles: 60.00 60.00 60.00
Sites, in units of the cell vectors:
Zr1 0.000 0.000 0.000
Cr1 0.250 0.250 0.250
In1 0.750 0.750 0.750

=====

Record 5
A relaxed structure of Mg2MoRuSe. Source: Alexandria, functional PBE.

Calculated values
Its symmetry is P4/mmm, No. 123. The volume comes out at 24.31 Å³ per atom. The formation energy (no corrections) is 1173.2 meV per atom.

abc: 5.123 5.123 4.632
angles: 90.00 90.00 90.00
Sites, in units of the cell vectors:
Mg1 0.000 0.500 0.000
Mg2 0.500 0.000 0.000
Mo1 0.000 0.000 0.000
Ru1 0.500 0.500 0.500
Se1 0.000 0.000 0.500

=====

Record 6
A relaxed structure of In5Te4. Source: Alexandria, functional PBE.

Calculated values
Its symmetry is P6_3/mcm, No. 193. The volume comes out at 32.74 Å³ per atom. The formation energy (no corrections) is -168.0 meV per atom.

abc: 8.885 8.885 8.619
angles: 90.00 90.00 120.00
Sites, in units of the cell vectors:
In1 0.000 0.251 0.250
In2 0.000 0.749 0.750
In3 0.251 0.000 0.250
In4 0.251 0.251 0.750
In5 0.333 0.667 0.000
In6 0.333 0.667 0.500
In7 0.667 0.333 0.000
In8 0.667 0.333 0.500
In9 0.749 0.000 0.750
In10 0.749 0.749 0.250
Te1 0.000 0.000 0.000
Te2 0.000 0.000 0.500
Te3 0.000 0.411 0.750
Te4 0.000 0.589 0.250
Te5 0.411 0.000 0.750
Te6 0.411 0.411 0.250
Te7 0.589 0.000 0.250
Te8 0.589 0.589 0.750

=====

Record 7
A relaxed structure of Tb2Tm2ThMg5. Source: Alexandria, functional PBE.

Calculated values
Its symmetry is P4/mbm, No. 127. The value obtained for the energy of formation from the pure elements is 0.114 eV per atom. The volume comes out at 28.36 Å³ per atom.

abc: 10.493 10.493 5.151
angles: 90.00 90.00 90.00
Sites, in units of the cell vectors:
Tb1 0.178 0.322 0.000
Tb2 0.322 0.822 0.000
Tb3 0.678 0.178 0.000
Tb4 0.822 0.678 0.000
Tm1 0.119 0.619 0.000
Tm2 0.381 0.119 0.000
Tm3 0.619 0.881 0.000
Tm4 0.881 0.381 0.000
Th1 0.000 0.000 0.000
Th2 0.500 0.500 0.000
Mg1 0.000 0.500 0.500
Mg2 0.075 0.802 0.500
Mg3 0.198 0.075 0.500
Mg4 0.302 0.575 0.500
Mg5 0.425 0.302 0.500
Mg6 0.500 0.000 0.500
Mg7 0.575 0.698 0.500
Mg8 0.698 0.425 0.500
Mg9 0.802 0.925 0.500
Mg10 0.925 0.198 0.500

=====

Record 8
A relaxed structure of La3MgIn2. Source: Alexandria, functional PBE.

Calculated values
Its symmetry is P-3m1, No. 164. The value obtained for the energy of formation from the pure elements is -0.399 eV per atom. As for the energy relative to the lowest polymorph listed for this composition: 0.000 eV per atom. The volume comes out at 30.98 Å³ per atom.

abc: 5.595 5.595 13.710
angles: 90.00 90.00 120.00
Sites, in units of the cell vectors:
La1 0.000 0.000 0.248
La2 0.000 0.000 0.752
La3 0.333 0.667 0.419
La4 0.333 0.667 0.920
La5 0.667 0.333 0.080
La6 0.667 0.333 0.581
Mg1 0.333 0.667 0.669
Mg2 0.667 0.333 0.331
In1 0.000 0.000 0.000
In2 0.000 0.000 0.500
In3 0.333 0.667 0.174
In4 0.667 0.333 0.826